{
  "formula": "TbY2Sb3",
  "functional": "PBE-GGA",
  "state": "relaxed",
  "cell": [[-2.1980, 3.1065, 6.5928], [2.1980, -3.1065, 6.5928], [2.1980, 3.1065, -6.5928]],
  "species": ["Tb", "Y", "Y", "Sb", "Sb", "Sb"],
  "fractional_positions": [[0.0000, 0.0000, 0.0000], [0.3334, 0.3334, 0.0000], [0.6666, 0.6666, 0.0000], [0.1669, 0.6669, 0.5000], [0.5000, 0.0000, 0.5000], [0.8331, 0.3331, 0.5000]],
  "total_magnetization_mub_per_atom": 0.0000,
  "e_tot_ev_per_atom": -6.15,
  "raw_formation_energy_mev_per_atom": -1160
}